Record 1
The following is a PBE-GGA calculation of a relaxed Te2OsRh crystal, from Alexandria via LeMat-Bulk.

Output
ΔE_f (raw)   0.3437 eV/atom
Offset from the most stable computed form   367 meV/atom
VASP energy   -5.8724 eV/atom
Magnetic moment   0.000 μB/f.u.

Cell: 7.2027 7.2027 7.2027 Å, 131.25 131.25 71.41°
Last column: nearest neighbours and their distance in Å.
Sites, in units of the cell vectors:
Te 0.1217 0.6250 0.9967  2 Os 2.55, 2 Rh 2.57
Te 0.3750 0.3717 0.4967  2 Os 2.55, 2 Rh 2.57
Te 0.6283 0.1250 0.0033  2 Os 2.55, 2 Rh 2.57
Te 0.8750 0.8783 0.5033  2 Os 2.55, 2 Rh 2.57
Os 0.0000 0.0000 0.0000  4 Te 2.55
Os 0.7500 0.2500 0.5000  4 Te 2.55
Rh 0.2500 0.7500 0.5000  4 Te 2.57
Rh 0.5000 0.5000 0.0000  4 Te 2.57

---

Record 2
The following is a PBE-GGA calculation of a relaxed TcOs crystal, from Alexandria via LeMat-Bulk.

Output
Offset from the most stable computed form   982 meV/atom
VASP energy   -9.9014 eV/atom
Calculated formation energy   0.896 eV per atom
Magnetic moment   0.000 μB/f.u.

Cell: 3.8861 3.8861 5.2104 Å, 90.00 90.00 120.00°
Last column: nearest neighbours and their distance in Å.
Sites, in units of the cell vectors:
Tc 0.3333 0.6667 0.2500  6 Os 2.59
Tc 0.6667 0.3333 0.7500  6 Os 2.59
Os 0.0000 0.0000 0.0000  6 Tc 2.59, 2 Os 2.61
Os 0.0000 0.0000 0.5000  6 Tc 2.59, 2 Os 2.61

---

Record 3
The following is a PBE-GGA calculation of a relaxed LiRe4Mo crystal, from Alexandria via LeMat-Bulk.

Output
VASP energy   -10.0986 eV/atom
Calculated formation energy   0.324 eV per atom
Magnetic moment   0.015 μB/f.u.

Cell: 5.1551 5.1551 5.1551 Å, 60.00 60.00 60.00°
Last column: nearest neighbours and their distance in Å.
Sites, in units of the cell vectors:
Li 0.0000 0.0000 0.0000  12 Re 3.02, 4 Mo 3.16
Re 0.3746 0.3746 0.3746  6 Re 2.57-2.59
Re 0.3746 0.3746 0.8763  6 Re 2.57-2.59
Re 0.3746 0.8763 0.3746  6 Re 2.57-2.59
Re 0.8763 0.3746 0.3746  6 Re 2.57-2.59
Mo 0.7500 0.7500 0.7500  12 Re 3.02, 4 Li 3.16

---

Record 4
The following is a PBE-GGA calculation of a relaxed IrPt2Cl crystal, from Alexandria via LeMat-Bulk.

Output
ΔE_f (raw)   0.7120 eV/atom
Offset from the most stable computed form   425 meV/atom
VASP energy   -4.9853 eV/atom
Magnetic moment   0.000 μB/f.u.

Cell: 4.9542 4.9542 2.7800 Å, 90.00 90.00 111.75°
Last column: nearest neighbours and their distance in Å.
Sites, in units of the cell vectors:
Ir 0.0000 0.0000 0.0000  2 Cl 2.78, 2 Ir 2.78, 8 Pt 2.84
Pt 0.0000 0.5000 0.5000  4 Pt 2.78, 4 Cl 2.84, 4 Ir 2.84
Pt 0.5000 0.0000 0.5000  4 Pt 2.78, 4 Cl 2.84, 4 Ir 2.84
Cl 0.5000 0.5000 0.0000  2 Ir 2.78, 2 Cl 2.78, 8 Pt 2.84

---

Record 5
The following is a PBE-GGA calculation of a relaxed Cr2CuOs crystal, from Alexandria via LeMat-Bulk.

Output
VASP energy   -8.3943 eV/atom
Calculated formation energy   0.249 eV per atom
Magnetic moment   0.429 μB/f.u.

Cell: 4.5736 4.5736 4.4024 Å, 105.47 105.47 34.96°
Last column: nearest neighbours and their distance in Å.
Sites, in units of the cell vectors:
Cr 0.0000 0.0000 0.0000  2 Cr 2.39, 3 Cu 2.59-2.62, 4 Os 2.59-2.62
Cr 0.7237 0.7237 0.2464  2 Cr 2.39, 3 Os 2.54-2.67, 4 Cu 2.58-2.61
Cu 0.2386 0.2386 0.7588  7 Cr 2.58-2.62, 3 Os 2.66-2.67, 2 Cu 2.75
Os 0.4733 0.4733 0.4816  7 Cr 2.54-2.67, 3 Cu 2.66-2.67, 2 Os 2.75

---

Record 6
The following is a PBE-GGA calculation of a relaxed In5Pd12Rh3 crystal, from Alexandria via LeMat-Bulk.

Output
VASP energy   -4.6350 eV/atom
Calculated formation energy   0.268 eV per atom
Magnetic moment   0.001 μB/f.u.

Cell: 13.1506 13.1506 13.1506 Å, 109.47 109.47 109.47°
Last column: nearest neighbours and their distance in Å.
Sites, in units of the cell vectors:
In 0.0000 0.0000 0.0000  6 Pd 2.60
In 0.0000 0.0000 0.5000  6 Pd 2.60
In 0.0000 0.5000 0.0000  6 Pd 2.60
In 0.0000 0.5000 0.5000  6 Pd 2.60
In 0.1250 0.7500 0.8750  4 Pd 2.63
In 0.1250 0.8750 0.2500  4 Pd 2.63
In 0.2500 0.1250 0.8750  4 Pd 2.63
In 0.2500 0.6250 0.3750  4 Pd 2.63
In 0.3750 0.2500 0.6250  4 Pd 2.63
In 0.3750 0.6250 0.7500  4 Pd 2.63
In 0.5000 0.0000 0.0000  6 Pd 2.60
In 0.5000 0.0000 0.5000  6 Pd 2.60
In 0.5000 0.5000 0.0000  6 Pd 2.60
In 0.5000 0.5000 0.5000  6 Pd 2.60
In 0.6250 0.3750 0.2500  4 Pd 2.63
In 0.6250 0.7500 0.3750  4 Pd 2.63
In 0.7500 0.3750 0.6250  4 Pd 2.63
In 0.7500 0.8750 0.1250  4 Pd 2.63
In 0.8750 0.1250 0.7500  4 Pd 2.63
In 0.8750 0.2500 0.1250  4 Pd 2.63
Pd 0.0731 0.2301 0.1480  2 In 2.60-2.63, 1 Pd 2.62, 2 Rh 2.65-2.73
Pd 0.0731 0.3430 0.9251  2 In 2.60-2.63, 1 Pd 2.62, 2 Rh 2.65-2.73
Pd 0.0749 0.6480 0.4179  2 In 2.60-2.63, 1 Pd 2.62, 2 Rh 2.65-2.73
Pd 0.0749 0.9269 0.6570  2 In 2.60-2.63, 1 Pd 2.62, 2 Rh 2.65-2.73
Pd 0.0821 0.7301 0.6570  2 In 2.60-2.63, 1 Pd 2.62, 2 Rh 2.65-2.73
Pd 0.0821 0.8520 0.4251  2 In 2.60-2.63, 1 Pd 2.62, 2 Rh 2.65-2.73
Pd 0.1480 0.0731 0.2301  2 In 2.60-2.63, 1 Pd 2.62, 2 Rh 2.65-2.73
Pd 0.1480 0.5749 0.9179  2 In 2.60-2.63, 1 Pd 2.62, 2 Rh 2.65-2.73
Pd 0.1570 0.2301 0.5821  2 In 2.60-2.63, 1 Pd 2.62, 2 Rh 2.65-2.73
Pd 0.1570 0.4269 0.5749  2 In 2.60-2.63, 1 Pd 2.62, 2 Rh 2.65-2.73
Pd 0.2301 0.1480 0.0731  2 In 2.60-2.63, 1 Pd 2.62, 2 Rh 2.65-2.73
Pd 0.2301 0.5821 0.1570  2 In 2.60-2.63, 1 Pd 2.62, 2 Rh 2.65-2.73
Pd 0.2699 0.3430 0.9179  2 In 2.60-2.63, 1 Pd 2.62, 2 Rh 2.65-2.73
Pd 0.2699 0.4269 0.3520  2 In 2.60-2.63, 1 Pd 2.62, 2 Rh 2.65-2.73
Pd 0.3430 0.9179 0.2699  2 In 2.60-2.63, 1 Pd 2.62, 2 Rh 2.65-2.73
Pd 0.3430 0.9251 0.0731  2 In 2.60-2.63, 1 Pd 2.62, 2 Rh 2.65-2.73
Pd 0.3520 0.2699 0.4269  2 In 2.60-2.63, 1 Pd 2.62, 2 Rh 2.65-2.73
Pd 0.3520 0.5821 0.9251  2 In 2.60-2.63, 1 Pd 2.62, 2 Rh 2.65-2.73
Pd 0.4179 0.0749 0.6480  2 In 2.60-2.63, 1 Pd 2.62, 2 Rh 2.65-2.73
Pd 0.4179 0.8430 0.7699  2 In 2.60-2.63, 1 Pd 2.62, 2 Rh 2.65-2.73
Pd 0.4251 0.0821 0.8520  2 In 2.60-2.63, 1 Pd 2.62, 2 Rh 2.65-2.73
Pd 0.4251 0.8430 0.5731  2 In 2.60-2.63, 1 Pd 2.62, 2 Rh 2.65-2.73
Pd 0.4269 0.3520 0.2699  2 In 2.60-2.63, 1 Pd 2.62, 2 Rh 2.65-2.73
Pd 0.4269 0.5749 0.1570  2 In 2.60-2.63, 1 Pd 2.62, 2 Rh 2.65-2.73
Pd 0.5731 0.4251 0.8430  2 In 2.60-2.63, 1 Pd 2.62, 2 Rh 2.65-2.73
Pd 0.5731 0.6480 0.7301  2 In 2.60-2.63, 1 Pd 2.62, 2 Rh 2.65-2.73
Pd 0.5749 0.1570 0.4269  2 In 2.60-2.63, 1 Pd 2.62, 2 Rh 2.65-2.73
Pd 0.5749 0.9179 0.1480  2 In 2.60-2.63, 1 Pd 2.62, 2 Rh 2.65-2.73
Pd 0.5821 0.1570 0.2301  2 In 2.60-2.63, 1 Pd 2.62, 2 Rh 2.65-2.73
Pd 0.5821 0.9251 0.3520  2 In 2.60-2.63, 1 Pd 2.62, 2 Rh 2.65-2.73
Pd 0.6480 0.4179 0.0749  2 In 2.60-2.63, 1 Pd 2.62, 2 Rh 2.65-2.73
Pd 0.6480 0.7301 0.5731  2 In 2.60-2.63, 1 Pd 2.62, 2 Rh 2.65-2.73
Pd 0.6570 0.0749 0.9269  2 In 2.60-2.63, 1 Pd 2.62, 2 Rh 2.65-2.73
Pd 0.6570 0.0821 0.7301  2 In 2.60-2.63, 1 Pd 2.62, 2 Rh 2.65-2.73
Pd 0.7301 0.5731 0.6480  2 In 2.60-2.63, 1 Pd 2.62, 2 Rh 2.65-2.73
Pd 0.7301 0.6570 0.0821  2 In 2.60-2.63, 1 Pd 2.62, 2 Rh 2.65-2.73
Pd 0.7699 0.4179 0.8430  2 In 2.60-2.63, 1 Pd 2.62, 2 Rh 2.65-2.73
Pd 0.7699 0.8520 0.9269  2 In 2.60-2.63, 1 Pd 2.62, 2 Rh 2.65-2.73
Pd 0.8430 0.5731 0.4251  2 In 2.60-2.63, 1 Pd 2.62, 2 Rh 2.65-2.73
Pd 0.8430 0.7699 0.4179  2 In 2.60-2.63, 1 Pd 2.62, 2 Rh 2.65-2.73
Pd 0.8520 0.4251 0.0821  2 In 2.60-2.63, 1 Pd 2.62, 2 Rh 2.65-2.73
Pd 0.8520 0.9269 0.7699  2 In 2.60-2.63, 1 Pd 2.62, 2 Rh 2.65-2.73
Pd 0.9179 0.1480 0.5749  2 In 2.60-2.63, 1 Pd 2.62, 2 Rh 2.65-2.73
Pd 0.9179 0.2699 0.3430  2 In 2.60-2.63, 1 Pd 2.62, 2 Rh 2.65-2.73
Pd 0.9251 0.0731 0.3430  2 In 2.60-2.63, 1 Pd 2.62, 2 Rh 2.65-2.73
Pd 0.9251 0.3520 0.5821  2 In 2.60-2.63, 1 Pd 2.62, 2 Rh 2.65-2.73
Pd 0.9269 0.6570 0.0749  2 In 2.60-2.63, 1 Pd 2.62, 2 Rh 2.65-2.73
Pd 0.9269 0.7699 0.8520  2 In 2.60-2.63, 1 Pd 2.62, 2 Rh 2.65-2.73
Rh 0.1250 0.2500 0.3750  8 Pd 2.65-2.73
Rh 0.1250 0.3750 0.7500  8 Pd 2.65-2.73
Rh 0.2500 0.3750 0.1250  8 Pd 2.65-2.73
Rh 0.2500 0.8750 0.6250  8 Pd 2.65-2.73
Rh 0.3750 0.1250 0.2500  8 Pd 2.65-2.73
Rh 0.3750 0.7500 0.1250  8 Pd 2.65-2.73
Rh 0.6250 0.2500 0.8750  8 Pd 2.65-2.73
Rh 0.6250 0.8750 0.7500  8 Pd 2.65-2.73
Rh 0.7500 0.1250 0.3750  8 Pd 2.65-2.73
Rh 0.7500 0.6250 0.8750  8 Pd 2.65-2.73
Rh 0.8750 0.6250 0.2500  8 Pd 2.65-2.73
Rh 0.8750 0.7500 0.6250  8 Pd 2.65-2.73

---

Record 7
The following is a PBE-GGA calculation of a relaxed NdSmH crystal, from Alexandria via LeMat-Bulk.

Output
Offset from the most stable computed form   20 meV/atom
VASP energy   -4.4904 eV/atom
Magnetic moment   0.000 μB/f.u.

Cell: 3.7332 3.7332 5.8271 Å, 90.00 90.00 120.00°
Last column: nearest neighbours and their distance in Å.
Sites, in units of the cell vectors:
Nd 0.0000 0.0000 0.0000  3 H 2.59
Sm 0.3333 0.6667 0.4797  3 H 2.55
H 0.6667 0.3333 0.2462  3 Sm 2.55, 3 Nd 2.59

---

Record 8
The following is a PBE-GGA calculation of a relaxed NaZnMo3 crystal, from Alexandria via LeMat-Bulk.

Output
Offset from the most stable computed form   722 meV/atom
VASP energy   -4.4448 eV/atom
Calculated formation energy   2.572 eV per atom
Magnetic moment   0.889 μB/f.u.

Cell: 4.5264 4.5264 4.5264 Å, 90.00 90.00 90.00°
Last column: nearest neighbours and their distance in Å.
Sites, in units of the cell vectors:
Na 0.0000 0.0000 0.0000  6 Mo 2.26
Zn 0.5000 0.5000 0.5000  12 Mo 3.20
Mo 0.0000 0.0000 0.5000  2 Na 2.26
Mo 0.0000 0.5000 0.0000  2 Na 2.26
Mo 0.5000 0.0000 0.0000  2 Na 2.26

---

Record 9
The following is a PBE-GGA calculation of a relaxed Pm6CuC2Br3 crystal, from Alexandria via LeMat-Bulk.

Output
ΔE_f (raw)   -0.7690 eV/atom
VASP energy   -5.4412 eV/atom
Magnetic moment   0.000 μB/f.u.

Cell: 6.7670 6.7670 7.7091 Å, 98.42 98.42 120.00°
Last column: nearest neighbours and their distance in Å.
Sites, in units of the cell vectors:
Pm 0.0726 0.4368 0.8082  2 C 2.58-2.59, 1 Cu 2.84
Pm 0.1999 0.1999 0.1911  2 C 2.58, 1 Cu 2.84
Pm 0.4368 0.0726 0.8082  2 C 2.58-2.59, 1 Cu 2.84
Pm 0.5632 0.9274 0.1918  2 C 2.58-2.59, 1 Cu 2.84
Pm 0.8001 0.8001 0.8089  2 C 2.58, 1 Cu 2.84
Pm 0.9274 0.5632 0.1918  2 C 2.58-2.59, 1 Cu 2.84
Cu 0.5000 0.5000 0.0000  6 Pm 2.84
C 0.1664 0.8336 0.0000  6 Pm 2.58-2.59
C 0.8336 0.1664 0.0000  6 Pm 2.58-2.59
Br 0.0000 0.0000 0.5000  6 Pm 3.06-3.28
Br 0.3377 0.6623 0.5000  6 Pm 3.09-3.28
Br 0.6623 0.3377 0.5000  6 Pm 3.09-3.28

---

Record 10
The following is a PBE-GGA calculation of a relaxed Na2Pb5Au4 crystal, from Alexandria via LeMat-Bulk.

Output
VASP energy   -3.2024 eV/atom
Calculated formation energy   -0.085 eV per atom
Magnetic moment   0.000 μB/f.u.

Cell: 7.4703 7.4703 9.0071 Å, 126.95 126.95 54.02°
Last column: nearest neighbours and their distance in Å.
Sites, in units of the cell vectors:
Na 0.2044 0.2044 0.2010  2 Au 3.03-3.04
Na 0.7956 0.7956 0.7990  2 Au 3.03-3.04
Pb 0.2503 0.7470 0.6814  2 Au 2.92-2.93
Pb 0.2530 0.7497 0.3186  2 Au 2.92-2.93
Pb 0.5000 0.5000 0.0000  4 Au 2.94-2.96
Pb 0.7470 0.2503 0.6814  2 Au 2.92-2.93
Pb 0.7497 0.2530 0.3186  2 Au 2.92-2.93
Au 0.2403 0.2403 0.9021  3 Pb 2.93-2.94, 1 Au 2.98, 1 Na 3.03
Au 0.2425 0.2425 0.5735  3 Pb 2.92-2.96, 1 Au 2.98, 1 Na 3.04
Au 0.7575 0.7575 0.4265  3 Pb 2.92-2.96, 1 Au 2.98, 1 Na 3.04
Au 0.7597 0.7597 0.0979  3 Pb 2.93-2.94, 1 Au 2.98, 1 Na 3.03

---

Record 11
The following is a PBE-GGA calculation of a relaxed YIn2W crystal, from Alexandria via LeMat-Bulk.

Output
Offset from the most stable computed form   122 meV/atom
VASP energy   -5.9115 eV/atom
Calculated formation energy   0.312 eV per atom
Magnetic moment   0.000 μB/f.u.

Cell: 4.9584 4.9584 4.9584 Å, 60.00 60.00 60.00°
Last column: nearest neighbours and their distance in Å.
Sites, in units of the cell vectors:
Y 0.0000 0.0000 0.0000  8 In 3.04
In 0.2500 0.2500 0.2500  4 W 3.04, 4 Y 3.04
In 0.7500 0.7500 0.7500  4 W 3.04, 4 Y 3.04
W 0.5000 0.5000 0.5000  8 In 3.04

---

Record 12
The following is a PBE-GGA calculation of a relaxed KCl3F12 crystal, from Alexandria via LeMat-Bulk.

Output
ΔE_f (raw)   -0.9048 eV/atom
VASP energy   -2.7232 eV/atom
Magnetic moment   2.008 μB/f.u.

Cell: 8.4502 8.4502 8.4502 Å, 77.92 77.92 77.92°
Last column: nearest neighbours and their distance in Å.
Sites, in units of the cell vectors:
K 0.0000 0.0000 0.0000  9 F 2.84-2.86
K 0.5000 0.5000 0.5000  9 F 2.84-2.86
Cl 0.1090 0.4685 0.8141  4 F 1.74-1.81
Cl 0.3141 0.9685 0.6090  4 F 1.74-1.81
Cl 0.4685 0.8141 0.1090  4 F 1.74-1.81
Cl 0.6090 0.3141 0.9685  4 F 1.74-1.81
Cl 0.8141 0.1090 0.4685  4 F 1.74-1.81
Cl 0.9685 0.6090 0.3141  4 F 1.74-1.81
F 0.0532 0.3253 0.9928  1 Cl 1.77
F 0.0974 0.4221 0.3556  1 Cl 1.74
F 0.1001 0.6593 0.1220  1 Cl 1.79
F 0.1220 0.1001 0.6593  1 Cl 1.79
F 0.1593 0.6001 0.6220  1 Cl 1.79
F 0.2588 0.8268 0.7956  1 Cl 1.81
F 0.2956 0.3268 0.7588  1 Cl 1.81
F 0.3253 0.9928 0.0532  1 Cl 1.77
F 0.3268 0.7588 0.2956  1 Cl 1.81
F 0.3556 0.0974 0.4221  1 Cl 1.74
F 0.4221 0.3556 0.0974  1 Cl 1.74
F 0.4928 0.8253 0.5532  1 Cl 1.77
F 0.5532 0.4928 0.8253  1 Cl 1.77
F 0.5974 0.8556 0.9221  1 Cl 1.74
F 0.6001 0.6220 0.1593  1 Cl 1.79
F 0.6220 0.1593 0.6001  1 Cl 1.79
F 0.6593 0.1220 0.1001  1 Cl 1.79
F 0.7588 0.2956 0.3268  1 Cl 1.81
F 0.7956 0.2588 0.8268  1 Cl 1.81
F 0.8253 0.5532 0.4928  1 Cl 1.77
F 0.8268 0.7956 0.2588  1 Cl 1.81
F 0.8556 0.9221 0.5974  1 Cl 1.74
F 0.9221 0.5974 0.8556  1 Cl 1.74
F 0.9928 0.0532 0.3253  1 Cl 1.77